Entry 1:
Below is a relaxed structure of SnHgS3, with properties calculated at the PBE level.

Computed properties:
Formation energy without anion corrections in meV per atom: 397
DOS at the Fermi energy in states/eV/cell: 5.8
V in Å³/f.u.: 127.03
Distance to the lowest polymorph of the same formula in meV/atom: 638

Cell: 5.027 5.027 5.027 Å, 90.00 90.00 90.00°
Fractional positions:
S  0.000  0.500  0.000
S  0.000  0.000  0.500
S  0.500  0.000  0.000
Hg  0.500  0.500  0.500
Sn  0.000  0.000  0.000

=====

Entry 2:
Below is a relaxed structure of Sr2SnHgS4, with properties calculated at the PBE level.

Computed properties:
Formation energy without anion corrections in meV per atom: -1103
DOS at the Fermi energy in states/eV/cell: 0.0
V in Å³/f.u.: 207.64

Cell: 4.169 7.250 7.385 Å, 68.49 90.00 90.00°
Fractional positions:
Sr  0.000  0.000  0.000
Sr  0.500  0.000  0.500
Sn  0.500  0.500  0.000
Hg  0.000  0.500  0.500
S  0.000  0.754  0.758
S  0.000  0.246  0.242
S  0.500  0.727  0.268
S  0.500  0.273  0.732

=====

Entry 3:
Below is a relaxed structure of Sr2SnHgS5, with properties calculated at the PBE level.

Computed properties:
Formation energy without anion corrections in meV per atom: -1053
V in Å³/f.u.: 228.59

Cell: 4.006 9.733 11.982 Å, 90.00 90.00 101.87°
Fractional positions:
Sr  0.878  0.756  0.803
Sr  0.124  0.248  0.677
Sr  0.122  0.244  0.303
Sr  0.876  0.752  0.177
Sn  0.566  0.132  0.945
Sn  0.434  0.868  0.445
Hg  0.764  0.529  0.537
Hg  0.236  0.471  0.037
S  0.365  0.730  0.992
S  0.681  0.361  0.865
S  0.503  0.005  0.771
S  0.291  0.583  0.673
S  0.964  0.928  0.561
S  0.635  0.270  0.492
S  0.319  0.639  0.365
S  0.497  0.995  0.271
S  0.709  0.417  0.173
S  0.036  0.072  0.061

=====

Entry 4:
Below is a relaxed structure of TaSnHgS2, with properties calculated at the PBE level.

Computed properties:
Formation energy without anion corrections in meV per atom: 1416
DOS at the Fermi energy in states/eV/cell: 5.5
V in Å³/f.u.: 129.64

Cell: 4.869 5.468 4.869 Å, 90.00 90.00 90.00°
Site moments in Bohr magnetons follow the coordinates.
Fractional positions:
S  0.000  0.000  0.500  -0.10
S  0.500  0.000  0.000  -0.12
Hg  0.000  0.000  0.000  0.01
Sn  0.000  0.500  0.000  -0.05
Ta  0.500  0.500  0.500  1.34

=====

Number 1: total magnetization 0.0 μB per formula unit. Number 2: total magnetization 0.0 μB per formula unit. Number 3: total magnetization 0.0 μB per formula unit. Number 4: total magnetization 1.6 μB per formula unit.